Record 1
Material: MnSb2W
Method: DFT, PBE
State: relaxed

a b c (Å): 4.7312 4.7312 4.7312
angles (deg): 60.00 60.00 60.00
Last column: nearest neighbours and their distance in Å.
Sites, in units of the cell vectors:
W (0.5000, 0.5000, 0.5000)  8 Sb 2.90
Sb (0.2500, 0.2500, 0.2500)  4 Mn 2.90, 4 W 2.90
Sb (0.7500, 0.7500, 0.7500)  4 Mn 2.90, 4 W 2.90
Mn (0.0000, 0.0000, 0.0000)  8 Sb 2.90

Results
The space group is Fm-3m. The energy above the most stable polymorph in this dataset is 302 meV/atom. The calculated volume comes out at 74.9 Å³/cell. The uncorrected formation energy comes out at 50.67 kJ per mole of atoms. For the total energy, the calculation gives -7.07 eV/atom.

Record 2
Material: MnSbW
Method: DFT, PBE
State: relaxed

a b c (Å): 3.1075 3.1075 6.2447
angles (deg): 90.00 90.00 120.00
Last column: nearest neighbours and their distance in Å.
Sites, in units of the cell vectors:
W (0.3333, 0.6667, 0.7105)  3 Mn 2.41
Sb (0.6667, 0.3333, 0.3221)  3 Mn 2.85, 3 W 3.02, 6 Sb 3.11
Mn (0.0000, 0.0000, 0.9674)  3 W 2.41

Results
The space group is P3m1. The energy above the most stable polymorph in this dataset is 387 meV/atom. The calculated volume comes out at 52.2 Å³/cell. The uncorrected formation energy comes out at 49.95 kJ per mole of atoms. For the total energy, the calculation gives -8.23 eV/atom.

Record 3
Material: MnSb2W
Method: DFT, PBE
State: relaxed

a b c (Å): 5.4168 5.4168 5.4168
angles (deg): 135.57 135.57 64.65
Last column: nearest neighbours and their distance in Å.
Sites, in units of the cell vectors:
Mn (0.7500, 0.2500, 0.5000)  8 Sb 2.90-3.07, 4 W 3.07
Sb (0.2500, 0.7500, 0.5000)  4 Mn 2.90, 4 W 3.07, 4 Sb 3.07
Sb (0.0000, 0.0000, 0.0000)  4 W 2.90, 4 Mn 3.07, 4 Sb 3.07
W (0.5000, 0.5000, 0.0000)  8 Sb 2.90-3.07, 4 Mn 3.07

Results
The space group is I-4m2. The energy above the most stable polymorph in this dataset is 447 meV/atom. The calculated volume comes out at 76.8 Å³/cell. The uncorrected formation energy comes out at 64.69 kJ per mole of atoms. For the total energy, the calculation gives -6.92 eV/atom.

Record 4
Material: MnSb2W
Method: DFT, PBE
State: relaxed

a b c (Å): 5.0531 3.2786 4.5910
angles (deg): 90.00 90.00 90.00
Last column: nearest neighbours and their distance in Å.
Sites, in units of the cell vectors:
Mn (0.5000, 0.8749, 0.7395)  6 Sb 2.76-2.89
W (0.0000, 0.3750, 0.5099)  6 Sb 2.76-2.88
Sb (0.5000, 0.3750, 0.2568)  4 Mn 2.76-2.89, 2 W 2.78
Sb (0.0000, 0.8750, 0.9938)  4 W 2.76-2.88, 2 Mn 2.78

Results
The space group is Pmm2. The energy above the most stable polymorph in this dataset is 239 meV/atom. The calculated volume comes out at 76.1 Å³/cell. The uncorrected formation energy comes out at 44.64 kJ per mole of atoms. For the total energy, the calculation gives -7.13 eV/atom.

> Which value of total energy does entry 1 give?

-7.07 eV/atom